Entry 1:
A plane-wave DFT calculation with PBE was carried out for crystalline Ca2Al2Zn at its relaxed geometry.

Summary:
E = -2.769 eV/atom
Mass density = 2816 kg/m³

CIF file:
```
data_Ca2Al2Zn
_symmetry_space_group_name_H-M 'A m m 2'
_symmetry_Int_Tables_number 38
_cell_length_a 3.663
_cell_length_b 4.596
_cell_length_c 13.979
_cell_angle_alpha 90.00
_cell_angle_beta 90.00
_cell_angle_gamma 90.00
loop_
_symmetry_equiv_pos_as_xyz
'x,y,z'
'-x,-y,z'
'-x,y,z'
'x,-y,z'
'x,y+1/2,z+1/2'
'-x,-y+1/2,z+1/2'
'-x,y+1/2,z+1/2'
'x,-y+1/2,z+1/2'
loop_
_atom_site_label
_atom_site_type_symbol
_atom_site_fract_x
_atom_site_fract_y
_atom_site_fract_z
_atom_site_occupancy
Ca1 Ca 0.000 0.000 0.000 1
Ca2 Ca 0.000 0.000 0.238 1
Al1 Al 0.500 0.000 0.619 1
Al2 Al 0.500 0.000 0.818 1
Zn1 Zn 0.500 0.000 0.420 1
```


Entry 2:
A plane-wave DFT calculation with PBE was carried out for crystalline CaAlZn at its relaxed geometry.

Summary:
E = -2.424 eV/atom
Mass density = 3028 kg/m³

CIF file:
```
data_CaAlZn
_symmetry_space_group_name_H-M 'F -4 3 m'
_symmetry_Int_Tables_number 216
_symmetry_space_group_name_Hall 'F -4 2 3'
_cell_length_a 6.624
_cell_length_b 6.624
_cell_length_c 6.624
_cell_angle_alpha 90.00
_cell_angle_beta 90.00
_cell_angle_gamma 90.00
loop_
_atom_site_label
_atom_site_type_symbol
_atom_site_fract_x
_atom_site_fract_y
_atom_site_fract_z
_atom_site_occupancy
Ca1 Ca 0.000 0.000 0.000 1
Al1 Al 0.000 0.000 0.500 1
Zn1 Zn 0.250 0.250 0.250 1
```


Entry 3:
A plane-wave DFT calculation with PBE was carried out for crystalline CaAl6Zn12 at its relaxed geometry.

Summary:
E = -2.054 eV/atom
Mass density = 4818 kg/m³

CIF file:
```
data_CaAl6Zn12
_symmetry_space_group_name_H-M 'R -3 m'
_symmetry_Int_Tables_number 166
_symmetry_space_group_name_Hall '-R 3 2"'
_cell_length_a 11.3964
_cell_length_b 11.3964
_cell_length_c 9.0711
_cell_angle_alpha 90.00
_cell_angle_beta 90.00
_cell_angle_gamma 120.00
loop_
_atom_site_label
_atom_site_type_symbol
_atom_site_fract_x
_atom_site_fract_y
_atom_site_fract_z
_atom_site_occupancy
Ca1 Ca 0.0000 0.0000 0.0000 1
Al1 Al 0.0630 0.5315 0.2271 1
Zn1 Zn 0.0000 0.3922 0.5000 1
Zn2 Zn 0.0806 0.1611 0.2863 1
```


Entry 4:
A plane-wave DFT calculation with PBE was carried out for crystalline CaAlZn2 at its relaxed geometry.

Summary:
E = -2.147 eV/atom
Mass density = 4264 kg/m³

CIF file:
```
data_CaAlZn2
_symmetry_space_group_name_H-M 'I m m 2'
_symmetry_Int_Tables_number 44
_cell_length_a 4.718
_cell_length_b 4.821
_cell_length_c 6.776
_cell_angle_alpha 90.00
_cell_angle_beta 90.00
_cell_angle_gamma 90.00
loop_
_symmetry_equiv_pos_as_xyz
'x,y,z'
'-x,-y,z'
'-x,y,z'
'x,-y,z'
'x+1/2,y+1/2,z+1/2'
'-x+1/2,-y+1/2,z+1/2'
'-x+1/2,y+1/2,z+1/2'
'x+1/2,-y+1/2,z+1/2'
loop_
_atom_site_label
_atom_site_type_symbol
_atom_site_fract_x
_atom_site_fract_y
_atom_site_fract_z
_atom_site_occupancy
Ca1 Ca 0.000 0.000 0.000 1
Al1 Al 0.000 0.500 0.245 1
Zn1 Zn 0.000 0.000 0.500 1
Zn2 Zn 0.000 0.500 0.756 1
```


Entry 5:
A plane-wave DFT calculation with PBE was carried out for crystalline CaAlZn2 at its relaxed geometry.

Summary:
E = -1.993 eV/atom
Mass density = 3517 kg/m³

CIF file:
```
data_CaAlZn2
_symmetry_space_group_name_H-M 'C m m m'
_symmetry_Int_Tables_number 65
_symmetry_space_group_name_Hall '-C 2 2'
_cell_length_a 6.102
_cell_length_b 6.786
_cell_length_c 4.513
_cell_angle_alpha 90.00
_cell_angle_beta 90.00
_cell_angle_gamma 90.00
loop_
_atom_site_label
_atom_site_type_symbol
_atom_site_fract_x
_atom_site_fract_y
_atom_site_fract_z
_atom_site_occupancy
Ca1 Ca 0.000 0.000 0.000 1
Al1 Al 0.000 0.500 0.000 1
Zn1 Zn 0.000 0.310 0.500 1
```


Entry 6:
A plane-wave DFT calculation with PBE was carried out for crystalline CaAl6Zn2 at its relaxed geometry.

Summary:
E = -3.131 eV/atom
Mass density = 3361 kg/m³

CIF file:
```
data_CaAl6Zn2
_symmetry_space_group_name_H-M 'P 4/m m m'
_symmetry_Int_Tables_number 123
_symmetry_space_group_name_Hall '-P 4 2'
_cell_length_a 4.106
_cell_length_b 4.106
_cell_length_c 9.752
_cell_angle_alpha 90.00
_cell_angle_beta 90.00
_cell_angle_gamma 90.00
loop_
_atom_site_label
_atom_site_type_symbol
_atom_site_fract_x
_atom_site_fract_y
_atom_site_fract_z
_atom_site_occupancy
Ca1 Ca 0.000 0.000 0.000 1
Al1 Al 0.000 0.000 0.500 1
Al2 Al 0.000 0.500 0.298 1
Al3 Al 0.500 0.500 0.500 1
Zn1 Zn 0.500 0.500 0.128 1
```